[1]
DFT (PBE) results for a geometry-optimized GdErNiPt structure.

The structure in POSCAR format:
```
GdErNiPt
1.0
4.8784 0.0000 0.0000
2.4392 4.2248 0.0000
2.4392 1.4083 3.9832
Pt Ni Gd Er
1 1 1 1
direct
0.7500 0.7500 0.7500 Pt
0.2500 0.2500 0.2500 Ni
0.5000 0.5000 0.5000 Gd
0.0000 0.0000 0.0000 Er
```

Output
- V (A^3/atom) = 20.52
- crystal system = cubic
- SG = F-43m (216)

[2]
DFT (PBE) results for a geometry-optimized GdErNiRh structure.

The structure in POSCAR format:
```
GdErNiRh
1.0
4.8246 0.0000 0.0000
2.4123 4.1783 0.0000
2.4123 1.3928 3.9393
Ni Er Rh Gd
1 1 1 1
direct
0.2500 0.2500 0.2500 Ni
0.0000 0.0000 0.0000 Er
0.7500 0.7500 0.7500 Rh
0.5000 0.5000 0.5000 Gd
```

Output
- V (A^3/atom) = 19.85
- crystal system = cubic
- SG = F-43m (216)

[3]
DFT (PBE) results for a geometry-optimized GdErNiRu structure.

The structure in POSCAR format:
```
GdErNiRu
1.0
4.7972 0.0000 0.0000
2.3986 4.1545 0.0000
2.3986 1.3848 3.9169
Er Ni Ru Gd
1 1 1 1
direct
0.7500 0.7500 0.7500 Er
0.5000 0.5000 0.5000 Ni
0.0000 0.0000 0.0000 Ru
0.2500 0.2500 0.2500 Gd
```

Output
- V (A^3/atom) = 19.52
- crystal system = cubic
- SG = F-43m (216)

[4]
DFT (PBE) results for a geometry-optimized GdErNiSn structure.

The structure in POSCAR format:
```
GdErNiSn
1.0
5.0947 0.0000 0.0000
2.5474 4.4122 0.0000
2.5474 1.4707 4.1598
Gd Sn Er Ni
1 1 1 1
direct
0.5000 0.5000 0.5000 Gd
0.2500 0.2500 0.2500 Sn
0.0000 0.0000 0.0000 Er
0.7500 0.7500 0.7500 Ni
```

Output
- V (A^3/atom) = 23.38
- crystal system = cubic
- SG = F-43m (216)

[5]
DFT (PBE) results for a geometry-optimized GdErTcNi structure.

The structure in POSCAR format:
```
GdErTcNi
1.0
4.8031 0.0000 0.0000
2.4016 4.1596 0.0000
2.4016 1.3865 3.9217
Tc Ni Gd Er
1 1 1 1
direct
0.7500 0.7500 0.7500 Tc
0.2500 0.2500 0.2500 Ni
0.0000 0.0000 0.0000 Gd
0.5000 0.5000 0.5000 Er
```

Output
- V (A^3/atom) = 19.59
- crystal system = cubic
- SG = F-43m (216)

[6]
DFT (PBE) results for a geometry-optimized Gd2ErNp structure.

The structure in POSCAR format:
```
Gd2ErNp
1.0
-1.0140 3.0393 -1.0629
-3.2947 0.6690 -0.3044
-1.6986 5.1525 10.9928
Er Gd Np
1 2 1
direct
0.5000 0.5000 0.5000 Er
0.5913 0.5913 0.2262 Gd
0.4087 0.4087 0.7738 Gd
0.0000 0.0000 0.0000 Np
```

Output
- V (A^3/atom) = 29.86
- crystal system = trigonal
- SG = R-3m (166)

Number 1: E_form -0.7968 eV/atom. Number 2: E_form -0.6165 eV/atom. Number 3: E_form -0.3812 eV/atom. Number 4: E_form -0.4432 eV/atom. Number 5: E_form -0.1142 eV/atom. Number 6: E_form 0.3933 eV/atom.